No. 1
Here is a relaxed structure of K2LiNbP from Alexandria via LeMat-Bulk. Energies are from PBE-GGA.

Cell: 5.766 4.497 5.766 Å, 90.00 90.00 90.00°
Atoms (fractional coordinates):
P1 0.000 0.500 0.000
Nb1 0.500 0.500 0.500
K1 0.000 0.000 0.500
K2 0.500 0.000 0.000
Li1 0.000 0.000 0.000

Values from the calculation:
SG: P4/mmm (123)
E_form, eV per atom: 0.86
Calculated total energy, eV per atom: -3.059

=====

No. 2
Here is a relaxed structure of KLiNbRu2 from Alexandria via LeMat-Bulk. Energies are from PBE-GGA.

Cell: 4.741 5.513 4.741 Å, 90.00 90.00 90.00°
Atoms (fractional coordinates):
Ru1 0.000 0.000 0.500
Ru2 0.500 0.000 0.000
Nb1 0.000 0.000 0.000
K1 0.500 0.500 0.500
Li1 0.000 0.500 0.000

Values from the calculation:
SG: P4/mmm (123)
E_form, eV per atom: 1.04
Calculated total energy, eV per atom: -5.284

=====

No. 3
Here is a relaxed structure of K2LiNbS4 from Alexandria via LeMat-Bulk. Energies are from PBE-GGA.

Cell: 7.285 7.285 6.689 Å, 123.00 123.01 89.99°
Atoms (fractional coordinates):
K1 0.486 0.986 0.972
K2 0.236 0.236 0.472
Li1 0.986 0.486 0.972
Nb1 0.736 0.736 0.472
S1 0.736 0.669 0.770
S2 0.803 0.437 0.173
S3 0.370 0.736 0.173
S4 0.034 0.102 0.771

Values from the calculation:
SG: I-4 (82)
ΔE_f (raw), eV/atom: -1.19
Calculated total energy, eV per atom: -5.022

=====

No. 4
Here is a relaxed structure of K2LiNbSe4 from Alexandria via LeMat-Bulk. Energies are from PBE-GGA.

Cell: 6.872 6.740 6.740 Å, 74.94 59.35 59.35°
Atoms (fractional coordinates):
K1 0.000 0.500 0.500
K2 0.500 0.500 0.500
Li1 0.000 0.000 0.000
Nb1 0.500 0.000 0.000
Se1 0.117 0.330 0.000
Se2 0.883 0.000 0.670
Se3 0.553 0.000 0.330
Se4 0.447 0.670 0.000

Values from the calculation:
SG: I-42m (121)
ΔE_f (raw), eV/atom: -1.06
Calculated total energy, eV per atom: -4.577